(1)
KIrPb2: optimized geometry, PBE.

Computed properties:
ΔH_f (0 K) ... 0.58 eV per atom
Spin magnetization ... 0.000 μB per cell
DOS at the Fermi energy ... 0.544 states/eV/atom

a = 7.428 Å, b = 7.428 Å, c = 7.428 Å
α = 90.00°, β = 90.00°, γ = 90.00°
Space group F-43m (No. 216)
Asymmetric unit:
1 K 0.000 0.000 0.000 (multiplicity 4)
2 Ir 0.250 0.250 0.750 (multiplicity 4)
3 Pb 0.000 0.000 0.500 (multiplicity 4)
4 Pb 0.250 0.250 0.250 (multiplicity 4)



(2)
K2IrPb: optimized geometry, PBE.

Computed properties:
ΔH_f (0 K) ... 0.53 eV per atom
Spin magnetization ... 0.001 μB per cell
DOS at the Fermi energy ... 0.738 states/eV/atom

a = 4.350 Å, b = 4.350 Å, c = 5.574 Å
α = 90.00°, β = 90.00°, γ = 90.00°
Space group P4/mmm (No. 123)
Asymmetric unit:
1 K 0.000 0.500 0.000 (multiplicity 2)
2 Ir 0.000 0.000 0.500 (multiplicity 1)
3 Pb 0.500 0.500 0.500 (multiplicity 1)



(3)
KIr2PbSe: optimized geometry, PBE.

Computed properties:
Spin magnetization ... 0.002 μB per cell
E ... -22.28 eV per cell
DOS at the Fermi energy ... 1.188 states/eV/atom

a = 4.724 Å, b = 4.724 Å, c = 5.704 Å
α = 90.00°, β = 90.00°, γ = 90.00°
Space group P4/mmm (No. 123)
Asymmetric unit:
1 K 0.000 0.000 0.000 (multiplicity 1)
2 Ir 0.000 0.500 0.500 (multiplicity 2)
3 Pb 0.500 0.500 0.000 (multiplicity 1)
4 Se 0.500 0.500 0.500 (multiplicity 1)



> Which value of DOS at the Fermi energy does entry 3 give?

1.188 states/eV/atom



> Among the records above, which one has the highest DOS at the Fermi energy?

KIr2PbSe



> Which of these has the lowest DOS at the Fermi energy?

KIrPb2



> The highest spin magnetization belongs to which entry?

KIr2PbSe